1.
The following is a PBE-GGA calculation of crystalline BaAsOsO at its relaxed geometry, from OQMD.

```
BaAsOsO
1.0
-4.2857 0.7671 -0.4598
-0.6017 -4.1383 -1.2959
-1.1708 -2.1328 7.3542
As Ba O Os
2 2 2 2
Direct
0.7500 0.7500 0.1937 As
0.2500 0.2500 0.8063 As
0.7500 0.2500 0.5000 Ba
0.2500 0.7500 0.5000 Ba
0.7500 0.2500 0.0000 O
0.2500 0.7500 0.0000 O
0.2500 0.2500 0.1104 Os
0.7500 0.7500 0.8896 Os
```

Properties
Raw total energy: -5.149 eV/atom
Size of the total moment: 0.000 μB/atom



2.
The following is a PBE-GGA calculation of crystalline NbSiHg at its relaxed geometry, from OQMD.

```
NbSiHg
1.0
0.0000 3.0707 3.0707
3.0707 0.0000 3.0707
3.0707 3.0707 0.0000
Hg Nb Si
1 1 1
Direct
0.2500 0.2500 0.2500 Hg
0.7500 0.7500 0.7500 Nb
0.0000 0.0000 0.0000 Si
```

Properties
Raw total energy: -4.899 eV/atom
Size of the total moment: 0.107 μB/atom